# Tb5HoTm12 | Alexandria | PBE-GGA | optimized geometry
# Spin magnetization ... 0.00 μB per cell
# Final energy ... -4.511 eV per atom
# Energy relative to the elements ... 0.010 eV/atom
# Calculated density ... 9.1 g/cm3
# Fermi-level density of states ... 46.0 states/eV per cell
data_Tb5HoTm12
_space_group_name_H-M_alt 'C 1 2/m 1'
_space_group_IT_number 12
_cell_length_a 6.0905
_cell_length_b 10.5453
_cell_length_c 17.1420
_cell_angle_alpha 90.00
_cell_angle_beta 96.79
_cell_angle_gamma 90.00
loop_
_space_group_symop_operation_xyz
'x,y,z'
'-x,-y,-z'
'-x,y,-z'
'x,-y,z'
'x+1/2,y+1/2,z'
'-x+1/2,-y+1/2,-z'
'-x+1/2,y+1/2,-z'
'x+1/2,-y+1/2,z'
loop_
_atom_site_label
_atom_site_type_symbol
_atom_site_fract_x
_atom_site_fract_y
_atom_site_fract_z
Tb1 Tb 0.0000 0.0000 0.0000
Tb2 Tb 0.0000 0.1667 0.5000
Tb3 Tb 0.0000 0.3333 0.0000
Ho1 Ho 0.0000 0.5000 0.5000
Tm1 Tm 0.1108 0.0000 0.3315
Tm2 Tm 0.1107 0.3334 0.3315
Tm3 Tm 0.2231 0.1667 0.1670
Tm4 Tm 0.2232 0.5000 0.1670